Below is Li3Pa3FeN8 after structural relaxation, with properties calculated at the PBE-GGA level.

Properties
M_tot: 2.62 μB/f.u.
Fermi-level density of states: 0.493 states/eV/atom
volume: 197 Å³/f.u.
formation energy without anion corrections: -17.6 kcal/mol of atoms

Lattice parameters (Å, degrees): 6.3050 6.3050 6.3050 65.00 65.00 65.00
With the nearest neighbours (Å) after each atom.
Fractional coordinates of all 15 atoms:
Li: 0.0000 0.5000 0.5000  6 N 2.37-2.39
Li: 0.5000 0.0000 0.5000  6 N 2.37-2.39
Li: 0.5000 0.5000 0.0000  6 N 2.37-2.39
Pa: 0.0000 0.0000 0.5000  6 N 2.25-2.29
Pa: 0.0000 0.5000 0.0000  6 N 2.25-2.29
Pa: 0.5000 0.0000 0.0000  6 N 2.25-2.29
Fe: 0.5000 0.5000 0.5000  6 N 2.06
N: 0.2410 0.2410 0.2410  3 Pa 2.25, 3 Li 2.39
N: 0.2648 0.7210 0.7210  1 Fe 2.06, 2 Pa 2.29
N: 0.2790 0.2790 0.7352  1 Fe 2.06, 2 Pa 2.29
N: 0.2790 0.7352 0.2790  1 Fe 2.06, 2 Pa 2.29
N: 0.7210 0.2648 0.7210  1 Fe 2.06, 2 Pa 2.29
N: 0.7210 0.7210 0.2648  1 Fe 2.06, 2 Pa 2.29
N: 0.7352 0.2790 0.2790  1 Fe 2.06, 2 Pa 2.29
N: 0.7590 0.7590 0.7590  3 Pa 2.25, 3 Li 2.39